[1]
VASP calculation (meta-GGA SCAN) on BaTl4 at its PBEsol-relaxed geometry.

Calculated values
- Formation energy from the elements: -311.6 meV per atom
- Symmetry: I4/m, No. 87
- D(E_F): 0.40 states/eV per atom

Unit cell a=5.040 b=6.070 c=6.070 alpha=80.08 beta=65.47 gamma=65.47
Fractional coordinates of all 5 atoms:
Tl 0.572 0.237 0.619
Tl 0.428 0.763 0.381
Tl 0.809 0.619 0.763
Tl 0.191 0.381 0.237
Ba 0.000 0.000 0.000

=====

[2]
VASP calculation (meta-GGA SCAN) on Ba3Tl at its PBEsol-relaxed geometry.

Calculated values
- Formation energy from the elements: -289.8 meV per atom
- Symmetry: Immm, No. 71
- D(E_F): 1.00 states/eV per atom

Unit cell a=4.333 b=6.284 c=7.776 alpha=113.83 beta=106.18 gamma=90.00
Site moments in Bohr magnetons follow the coordinates.
Fractional coordinates of all 4 atoms:
Tl 0.500 0.000 0.000  0.00
Ba 0.798 0.798 0.596  -0.05
Ba 0.202 0.202 0.404  -0.05
Ba 0.000 0.500 0.000  -0.01

=====

[3]
VASP calculation (meta-GGA SCAN) on BaTl at its PBEsol-relaxed geometry.

Calculated values
- Formation energy from the elements: -471.2 meV per atom
- Symmetry: Imm2, No. 44
- D(E_F): 0.48 states/eV per atom

Unit cell a=4.938 b=7.383 c=7.717 alpha=118.58 beta=108.66 gamma=90.00
Fractional coordinates of all 6 atoms:
Ba 0.189 0.272 0.378
Ba 0.500 0.796 0.000
Ba 0.811 0.894 0.622
Tl 0.500 0.304 0.000
Tl 0.121 0.656 0.243
Tl 0.879 0.413 0.757

=====

[4]
VASP calculation (meta-GGA SCAN) on Ba2Tl at its PBEsol-relaxed geometry.

Calculated values
- Formation energy from the elements: -375.4 meV per atom
- Symmetry: Fd-3m, No. 227
- D(E_F): 0.69 states/eV per atom

Unit cell a=11.308 b=11.308 c=11.308 alpha=60.00 beta=60.00 gamma=60.00
Site moments in Bohr magnetons follow the coordinates.
Fractional coordinates of all 24 atoms:
Ba 0.125 0.625 0.125  0.01
Ba 0.308 0.308 0.692  0.09
Ba 0.558 0.942 0.558  0.09
Ba 0.308 0.692 0.692  0.09
Ba 0.125 0.125 0.625  0.01
Ba 0.558 0.558 0.942  0.09
Ba 0.692 0.308 0.308  0.09
Ba 0.125 0.125 0.125  0.01
Ba 0.692 0.692 0.308  0.09
Ba 0.625 0.125 0.125  0.01
Ba 0.558 0.942 0.942  0.09
Ba 0.942 0.558 0.942  0.09
Ba 0.308 0.692 0.308  0.09
Ba 0.942 0.558 0.558  0.09
Ba 0.692 0.308 0.692  0.09
Ba 0.942 0.942 0.558  0.09
Tl 0.910 0.910 0.910  0.01
Tl 0.910 0.910 0.269  0.01
Tl 0.269 0.910 0.910  0.01
Tl 0.340 0.340 0.981  0.01
Tl 0.981 0.340 0.340  0.01
Tl 0.910 0.269 0.910  0.01
Tl 0.340 0.340 0.340  0.01
Tl 0.340 0.981 0.340  0.01

=====

[5]
VASP calculation (meta-GGA SCAN) on Ba2Tl at its PBEsol-relaxed geometry.

Calculated values
- Formation energy from the elements: -395.6 meV per atom
- Symmetry: Cmcm, No. 63
- D(E_F): 0.83 states/eV per atom

Unit cell a=4.231 b=6.225 c=9.991 alpha=90.00 beta=102.23 gamma=90.00
Site moments in Bohr magnetons follow the coordinates.
Fractional coordinates of all 6 atoms:
Tl 0.081 0.750 0.163  0.02
Tl 0.919 0.250 0.837  0.02
Ba 0.719 0.750 0.438  -0.10
Ba 0.572 0.250 0.143  -0.01
Ba 0.281 0.250 0.562  -0.10
Ba 0.428 0.750 0.857  -0.01

=====

[6]
VASP calculation (meta-GGA SCAN) on BaTl2 at its PBEsol-relaxed geometry.

Calculated values
- Formation energy from the elements: -469.1 meV per atom
- Symmetry: P6_3/mmc, No. 194
- D(E_F): 0.46 states/eV per atom

Unit cell a=6.496 b=6.496 c=10.476 alpha=90.00 beta=90.00 gamma=120.00
Fractional coordinates of all 12 atoms:
Tl 0.659 0.830 0.750
Tl 0.830 0.170 0.250
Tl 0.830 0.659 0.250
Tl 0.170 0.341 0.750
Tl 0.341 0.170 0.250
Tl 0.000 0.000 0.000
Tl 0.000 0.000 0.500
Tl 0.170 0.830 0.750
Ba 0.667 0.333 0.570
Ba 0.333 0.667 0.070
Ba 0.333 0.667 0.430
Ba 0.667 0.333 0.930

=====

[7]
VASP calculation (meta-GGA SCAN) on Ba5Tl at its PBEsol-relaxed geometry.

Calculated values
- Distance to the lowest polymorph of the same formula: 7 meV per atom
- Formation energy from the elements: -192.9 meV per atom
- Symmetry: P4/mmm, No. 123
- D(E_F): 1.17 states/eV per atom

Unit cell a=4.253 b=4.253 c=17.058 alpha=90.00 beta=90.00 gamma=90.00
Site moments in Bohr magnetons follow the coordinates.
Fractional coordinates of all 6 atoms:
Ba 0.500 0.500 0.686  -0.07
Ba 0.000 0.000 0.116  -0.02
Ba 0.000 0.000 0.500  -0.09
Ba 0.500 0.500 0.314  -0.07
Ba 0.000 0.000 0.884  -0.02
Tl 0.500 0.500 0.000  0.01

=====

[8]
VASP calculation (meta-GGA SCAN) on Ba3Tl at its PBEsol-relaxed geometry.

Calculated values
- Formation energy from the elements: -282.5 meV per atom
- Symmetry: Pmmn, No. 59
- D(E_F): 0.69 states/eV per atom

Unit cell a=5.868 b=7.340 c=7.816 alpha=90.00 beta=90.00 gamma=90.00
Fractional coordinates of all 8 atoms:
Ba 0.000 0.845 0.251
Ba 0.000 0.407 0.500
Ba 0.500 0.593 0.000
Ba 0.500 0.155 0.249
Ba 0.000 0.845 0.749
Ba 0.500 0.155 0.751
Tl 0.500 0.705 0.500
Tl 0.000 0.295 0.000

=====

| no. | theoretical density (g/cm³) |
| --- | --- |
| 1 | 10.316 |
| 2 | 5.548 |
| 3 | 7.399 |
| 4 | 6.224 |
| 5 | 6.186 |
| 6 | 9.475 |
| 7 | 4.795 |
| 8 | 6.081 |